# 1
Sn3ICl5 | PBE-GGA | optimized geometry Values from VASP.

Geometry as Quantum ESPRESSO input:
```
&SYSTEM
  ibrav = 0, nat = 18, ntyp = 3
/
ATOMIC_SPECIES
Sn 118.71 Sn.upf
I 126.90 I.upf
Cl 35.45 Cl.upf
ATOMIC_POSITIONS crystal
Sn 0.6625 0.6625 0.8299
Sn 0.6496 0.6496 0.3266
Sn 0.0000 0.0000 0.0000
Sn 0.0000 0.0000 0.5000
Sn 0.3375 0.3375 0.1701
Sn 0.3504 0.3504 0.6734
I 0.1087 0.1087 0.6904
I 0.8913 0.8913 0.3096
Cl 0.9606 0.3633 0.3314
Cl 0.2992 0.7008 0.0000
Cl 0.7581 0.7581 0.0732
Cl 0.4257 0.4257 0.3260
Cl 0.5743 0.5743 0.6740
Cl 0.2419 0.2419 0.9268
Cl 0.3633 0.9606 0.3314
Cl 0.7008 0.2992 0.0000
Cl 0.0394 0.6367 0.6686
Cl 0.6367 0.0394 0.6686
CELL_PARAMETERS angstrom
-6.3298 -2.0969 4.7207
-0.0651 -8.1280 0.8239
3.2862 -3.4112 10.5625
```

Energy relative to the elements, uncorrected, eV/atom: -0.89



# 2
Pr2Zn15Cu2 | PBE-GGA | optimized geometry Values from VASP.

Geometry as Quantum ESPRESSO input:
```
&SYSTEM
  ibrav = 0, nat = 19, ntyp = 3
/
ATOMIC_SPECIES
Pr 140.91 Pr.upf
Zn 65.41 Zn.upf
Cu 63.55 Cu.upf
ATOMIC_POSITIONS crystal
Pr 0.3363 0.3363 0.3363
Pr 0.6637 0.6637 0.6637
Zn 0.5000 0.0000 0.0000
Zn 0.0000 0.0000 0.5000
Zn 0.0000 0.5000 0.0000
Zn 0.0000 0.7135 0.2865
Zn 0.7135 0.2865 0.0000
Zn 0.2865 0.0000 0.7135
Zn 0.2865 0.7135 0.0000
Zn 0.7135 0.0000 0.2865
Zn 0.0000 0.2865 0.7135
Zn 0.1566 0.6512 0.6512
Zn 0.6512 0.6512 0.1566
Zn 0.6512 0.1566 0.6512
Zn 0.8434 0.3488 0.3488
Zn 0.3488 0.3488 0.8434
Zn 0.3488 0.8434 0.3488
Cu 0.0986 0.0986 0.0986
Cu 0.9014 0.9014 0.9014
CELL_PARAMETERS angstrom
6.8307 -0.0062 -0.0056
0.8800 6.7738 -0.0056
0.8800 0.7724 6.7296
```

Energy of formation, eV/atom: -0.239



# 3
ThScAl2 | PBE-GGA | optimized geometry Values from VASP.

Geometry as Quantum ESPRESSO input:
```
&SYSTEM
  ibrav = 0, nat = 4, ntyp = 3
/
ATOMIC_SPECIES
Sc 44.96 Sc.upf
Al 26.98 Al.upf
Th 232.04 Th.upf
ATOMIC_POSITIONS crystal
Sc 0.5000 0.5000 0.0000
Al 0.0000 0.0000 0.7873
Al 0.0000 0.0000 0.2127
Th 0.5000 0.5000 0.5000
CELL_PARAMETERS angstrom
3.5252 0.0000 0.0000
0.0000 3.5252 0.0000
0.0000 0.0000 7.2513
```

Energy of formation, eV/atom: -0.338
Energy above the lowest structure with this stoichiometry, meV/atom: 7



# 4
ZrCdTc2 | PBE-GGA | optimized geometry Values from VASP.

Geometry as Quantum ESPRESSO input:
```
&SYSTEM
  ibrav = 0, nat = 4, ntyp = 3
/
ATOMIC_SPECIES
Cd 112.41 Cd.upf
Tc 98.00 Tc.upf
Zr 91.22 Zr.upf
ATOMIC_POSITIONS crystal
Cd 0.7439 0.7439 0.7439
Tc 0.9928 0.9928 0.9928
Tc 0.2588 0.2588 0.2588
Zr 0.5045 0.5045 0.5045
CELL_PARAMETERS angstrom
-4.4689 -3.0130 -8.4616
-3.8307 -5.6062 -7.3854
-6.2516 -4.2703 -6.5825
```

Energy of formation, eV/atom: 0.155



# 5
Tl3ICl | PBE-GGA | optimized geometry Values from VASP.

Geometry as Quantum ESPRESSO input:
```
&SYSTEM
  ibrav = 0, nat = 5, ntyp = 3
/
ATOMIC_SPECIES
I 126.90 I.upf
Tl 204.38 Tl.upf
Cl 35.45 Cl.upf
ATOMIC_POSITIONS crystal
I 0.0000 0.0000 0.0000
Tl 0.0000 0.5000 0.0000
Tl 0.0000 0.0000 0.5000
Tl 0.5000 0.0000 0.0000
Cl 0.5000 0.5000 0.5000
CELL_PARAMETERS angstrom
6.5039 0.0000 0.0000
0.0000 6.5039 0.0000
0.0000 0.0000 6.5039
```

Energy above the lowest structure with this stoichiometry, meV/atom: 257
Energy relative to the elements, uncorrected, eV/atom: -0.13



# 6
PmMgHPb | PBE-GGA | optimized geometry Values from VASP.

Geometry as Quantum ESPRESSO input:
```
&SYSTEM
  ibrav = 0, nat = 8, ntyp = 4
/
ATOMIC_SPECIES
Pm 145.00 Pm.upf
Mg 24.30 Mg.upf
H 1.01 H.upf
Pb 207.20 Pb.upf
ATOMIC_POSITIONS crystal
Pm 0.0000 0.5000 0.8779
Pm 0.5000 0.0000 0.1221
Mg 0.0000 0.0000 0.5000
Mg 0.5000 0.5000 0.5000
H 0.5000 0.5000 0.0000
H 0.0000 0.0000 0.0000
Pb 0.5000 0.0000 0.7295
Pb 0.0000 0.5000 0.2705
CELL_PARAMETERS angstrom
-2.2916 -1.3142 3.5410
3.6538 0.2781 2.4677
-1.8514 8.1418 1.8236
```

Raw total energy, eV/atom: -3.799